Record 1
An optimized crystal structure of PmThHgIr. Source: the Alexandria database, functional PBE.

Calculated values
The total energy comes out at -5.7787 eV per atom. Its density of states at the Fermi level is 3.747 states/eV/f.u. The symmetry is F-43m. The formation energy comes out at -445 meV/atom.

Cell: 5.1981 5.1981 5.1981 Å, 60.00 60.00 60.00°
With the nearest neighbours (Å) after each atom.
Element x y z (fractional)
1 Ir 0.0000 0.0000 0.0000  4 Th 3.18, 4 Pm 3.18
2 Hg 0.5000 0.5000 0.5000  4 Th 3.18, 4 Pm 3.18
3 Th 0.7500 0.7500 0.7500  4 Hg 3.18, 4 Ir 3.18
4 Pm 0.2500 0.2500 0.2500  4 Hg 3.18, 4 Ir 3.18


Record 2
An optimized crystal structure of Y3Zn2Hg3. Source: the Alexandria database, functional PBE.

Calculated values
The total energy comes out at -3.2583 eV per atom. Its density of states at the Fermi level is 6.859 states/eV/f.u. The symmetry is Cmcm. The formation energy comes out at -403 meV/atom.

Cell: 4.5385 5.9272 15.2076 Å, 90.00 90.00 112.51°
With the nearest neighbours (Å) after each atom.
Element x y z (fractional)
1 Y 0.9135 0.8271 0.3937  4 Zn 3.20-3.50, 7 Hg 3.21-3.36
2 Y 0.0865 0.1729 0.8937  4 Zn 3.20-3.50, 7 Hg 3.21-3.36
3 Y 0.9135 0.8271 0.1063  4 Zn 3.20-3.50, 7 Hg 3.21-3.36
4 Y 0.0865 0.1729 0.6063  4 Zn 3.20-3.50, 7 Hg 3.21-3.36
5 Y 0.6377 0.2753 0.2500  5 Hg 3.07-3.31, 4 Zn 3.24
6 Y 0.3623 0.7247 0.7500  5 Hg 3.07-3.31, 4 Zn 3.24
7 Zn 0.7931 0.5862 0.8933  4 Hg 2.65-2.96
8 Zn 0.2069 0.4138 0.3933  4 Hg 2.65-2.96
9 Zn 0.7931 0.5862 0.6067  4 Hg 2.65-2.96
10 Zn 0.2069 0.4138 0.1067  4 Hg 2.65-2.96
11 Hg 0.6194 0.2387 0.4573  3 Zn 2.65-2.96, 1 Hg 2.92
12 Hg 0.3806 0.7613 0.9573  3 Zn 2.65-2.96, 1 Hg 2.92
13 Hg 0.6194 0.2387 0.0427  3 Zn 2.65-2.96, 1 Hg 2.92
14 Hg 0.3806 0.7613 0.5427  3 Zn 2.65-2.96, 1 Hg 2.92
15 Hg 0.3577 0.7153 0.2500  2 Zn 2.73
16 Hg 0.6423 0.2847 0.7500  2 Zn 2.73


Record 3
An optimized crystal structure of La2Tb5Nd5. Source: the Alexandria database, functional PBE.

Calculated values
The total energy comes out at -4.7185 eV per atom. Its density of states at the Fermi level is 19.223 states/eV/f.u. The symmetry is C2/m. The formation energy comes out at 19 meV/atom.

Cell: 5.1439 10.9338 8.1618 Å, 98.53 71.63 76.39°
With the nearest neighbours (Å) after each atom.
Element x y z (fractional)
1 La 0.3346 0.5005 0.8303  5 Tb 3.63-3.69, 5 Nd 3.64-3.69, 2 La 3.68
2 La 0.6654 0.4995 0.1697  5 Tb 3.63-3.69, 5 Nd 3.64-3.69, 2 La 3.68
3 Tb 0.0000 0.5000 0.5000  4 La 3.63, 2 Tb 3.67, 6 Nd 3.67
4 Tb 0.6654 0.7529 0.9162  6 Nd 3.62-3.65, 3 Tb 3.63-3.67, 3 La 3.66-3.69
5 Tb 0.3339 0.9989 0.3332  8 Nd 3.61-3.65, 4 Tb 3.63-3.64
6 Tb 0.6661 0.0011 0.6668  8 Nd 3.61-3.65, 4 Tb 3.63-3.64
7 Tb 0.3346 0.2471 0.0838  6 Nd 3.62-3.65, 3 Tb 3.63-3.67, 3 La 3.66-3.69
8 Nd 0.6699 0.2465 0.4138  3 Nd 3.62-3.65, 7 Tb 3.62-3.67, 2 La 3.64-3.67
9 Nd 0.0022 0.2468 0.7488  6 Tb 3.61-3.67, 3 Nd 3.62-3.65, 3 La 3.67-3.69
10 Nd 0.9978 0.7532 0.2512  6 Tb 3.61-3.67, 3 Nd 3.62-3.65, 3 La 3.67-3.69
11 Nd 0.3301 0.7535 0.5862  3 Nd 3.62-3.65, 7 Tb 3.62-3.67, 2 La 3.64-3.67
12 Nd 0.0000 0.0000 0.0000  4 Nd 3.62, 8 Tb 3.62-3.65


Record 4
An optimized crystal structure of AsH4I2. Source: the Alexandria database, functional PBE.

Calculated values
The total energy comes out at -2.9418 eV per atom. Its density of states at the Fermi level is 1.872 states/eV/f.u. The symmetry is Cm.

Cell: 6.0327 6.0327 6.2986 Å, 107.17 105.52 114.36°
With the nearest neighbours (Å) after each atom.
Element x y z (fractional)
1 As 0.9942 0.0037 0.9979  4 H 1.51-1.52
2 H 0.9014 0.1923 0.0937  1 As 1.51
3 H 0.1962 0.0202 0.2165  1 As 1.52
4 H 0.1268 0.0766 0.8364  1 As 1.51
5 H 0.7598 0.7096 0.8364  1 As 1.51
6 I 0.7604 0.2483 0.5096  3 H 2.86-2.94
7 I 0.2613 0.7492 0.5096  3 H 2.86-2.94


Record 5
An optimized crystal structure of ZrSb3Te. Source: the Alexandria database, functional PBE.

Calculated values
As for the uncorrected formation energy: 0.320 eV/atom. The total energy comes out at -4.4915 eV per atom. Its density of states at the Fermi level is 7.041 states/eV/f.u. The symmetry is Pm-3m.

Cell: 5.5434 5.5434 5.5434 Å, 90.00 90.00 90.00°
With the nearest neighbours (Å) after each atom.
Element x y z (fractional)
1 Sb 0.0000 0.5000 0.0000  2 Zr 2.77
2 Sb 0.0000 0.0000 0.5000  2 Zr 2.77
3 Sb 0.5000 0.0000 0.0000  2 Zr 2.77
4 Te 0.5000 0.5000 0.5000  12 Sb 3.92
5 Zr 0.0000 0.0000 0.0000  6 Sb 2.77


Record 6
An optimized crystal structure of Li3AlBi2. Source: the Alexandria database, functional PBE.

Calculated values
The total energy comes out at -3.0447 eV per atom. Its density of states at the Fermi level is 0.110 states/eV/f.u. The symmetry is Ibam. The formation energy comes out at -170 meV/atom.

Cell: 6.6147 7.2861 8.3195 Å, 115.97 113.42 90.00°
With the nearest neighbours (Å) after each atom.
Element x y z (fractional)
1 Li 0.5000 0.2500 0.0000  4 Bi 2.95
2 Li 0.5000 0.7500 0.0000  4 Bi 2.95
3 Li 0.7748 0.0248 0.5495  4 Bi 2.88-2.96
4 Li 0.2252 0.4752 0.4505  4 Bi 2.88-2.96
5 Li 0.2252 0.9752 0.4505  4 Bi 2.88-2.96
6 Li 0.7748 0.5248 0.5495  4 Bi 2.88-2.96
7 Al 0.0000 0.5000 0.0000  2 Bi 2.63
8 Al 0.0000 0.0000 0.0000  2 Bi 2.63
9 Bi 0.5791 0.3634 0.7268  1 Al 2.63, 2 Li 2.88
10 Bi 0.8523 0.1366 0.2732  1 Al 2.63, 2 Li 2.88
11 Bi 0.1477 0.8634 0.7268  1 Al 2.63, 2 Li 2.88
12 Bi 0.4209 0.6366 0.2732  1 Al 2.63, 2 Li 2.88


Record 7
An optimized crystal structure of LiAgSnSe2. Source: the Alexandria database, functional PBE.

Calculated values
As for the uncorrected formation energy: -0.004 eV/atom. The total energy comes out at -3.1512 eV per atom. Its density of states at the Fermi level is 1.384 states/eV/f.u. The symmetry is P4/mmm.

Cell: 5.2633 4.4731 5.2633 Å, 90.00 90.00 90.00°
With the nearest neighbours (Å) after each atom.
Element x y z (fractional)
1 Se 0.0000 0.0000 0.5000  2 Ag 2.63
2 Se 0.5000 0.0000 0.0000  2 Ag 2.63
3 Sn 0.5000 0.5000 0.5000  8 Se 3.45, 4 Li 3.72
4 Ag 0.0000 0.0000 0.0000  2 Li 2.24
5 Li 0.0000 0.5000 0.0000  2 Ag 2.24


Record 8
An optimized crystal structure of RbLiSmTe2. Source: the Alexandria database, functional PBE.

Calculated values
As for the uncorrected formation energy: -0.949 eV/atom. The total energy comes out at -3.7257 eV per atom. Its density of states at the Fermi level is 1.879 states/eV/f.u. The symmetry is Cmme.

Cell: 6.9903 6.7210 8.8135 Å, 112.41 90.00 90.00°
With the nearest neighbours (Å) after each atom.
Element x y z (fractional)
1 Rb 0.2407 0.7500 0.5000  8 Te 3.97-4.12, 2 Li 4.41
2 Rb 0.7593 0.2500 0.5000  8 Te 3.97-4.12, 2 Li 4.41
3 Li 0.0000 0.0000 0.0000  2 Te 2.64
4 Li 0.0000 0.5000 0.0000  2 Te 2.64
5 Sm 0.5000 0.7500 0.0000  4 Te 3.10, 2 Sm 3.36
6 Sm 0.5000 0.2500 0.0000  4 Te 3.10, 2 Sm 3.36
7 Te 0.7466 0.8799 0.7598  1 Li 2.64
8 Te 0.7466 0.6201 0.2402  1 Li 2.64
9 Te 0.2534 0.3799 0.7598  1 Li 2.64
10 Te 0.2534 0.1201 0.2402  1 Li 2.64


Record 9
An optimized crystal structure of Na5MgHg2. Source: the Alexandria database, functional PBE.

Calculated values
The total energy comes out at -1.2153 eV per atom. Its density of states at the Fermi level is 2.483 states/eV/f.u. The symmetry is Pbam. The formation energy comes out at -116 meV/atom.

Cell: 4.6630 6.8344 13.6529 Å, 90.00 90.00 90.00°
With the nearest neighbours (Å) after each atom.
Element x y z (fractional)
1 Na 0.0000 0.0000 0.0000  6 Na 3.33-3.41, 4 Hg 3.37, 2 Mg 3.42
2 Na 0.0000 0.5000 0.5000  6 Na 3.33-3.41, 4 Hg 3.37, 2 Mg 3.42
3 Na 0.0000 0.4758 0.7491  7 Na 3.31-3.42, 4 Hg 3.41-3.44, 1 Mg 3.43
4 Na 0.0000 0.5242 0.2509  7 Na 3.31-3.42, 4 Hg 3.41-3.44, 1 Mg 3.43
5 Na 0.0000 0.0242 0.2491  7 Na 3.31-3.42, 4 Hg 3.41-3.44, 1 Mg 3.43
6 Na 0.0000 0.9758 0.7509  7 Na 3.31-3.42, 4 Hg 3.41-3.44, 1 Mg 3.43
7 Na 0.5000 0.2405 0.8743  4 Hg 3.30-3.53, 6 Na 3.31-3.40, 2 Mg 3.39
8 Na 0.5000 0.7595 0.1257  4 Hg 3.30-3.53, 6 Na 3.31-3.40, 2 Mg 3.39
9 Na 0.5000 0.2595 0.3743  4 Hg 3.30-3.53, 6 Na 3.31-3.40, 2 Mg 3.39
10 Na 0.5000 0.7405 0.6257  4 Hg 3.30-3.53, 6 Na 3.31-3.40, 2 Mg 3.39
11 Mg 0.0000 0.0000 0.5000  4 Hg 3.22, 8 Na 3.39-3.43
12 Mg 0.0000 0.5000 0.0000  4 Hg 3.22, 8 Na 3.39-3.43
13 Hg 0.5000 0.2286 0.6156  2 Mg 3.22, 10 Na 3.30-3.53
14 Hg 0.5000 0.7714 0.3844  2 Mg 3.22, 10 Na 3.30-3.53
15 Hg 0.5000 0.2714 0.1156  2 Mg 3.22, 10 Na 3.30-3.53
16 Hg 0.5000 0.7286 0.8844  2 Mg 3.22, 10 Na 3.30-3.53


Record 10
An optimized crystal structure of BaTc2P. Source: the Alexandria database, functional PBE.

Calculated values
The total energy comes out at -6.9352 eV per atom. Its density of states at the Fermi level is 3.592 states/eV/f.u. The symmetry is P2/m. The formation energy comes out at 81 meV/atom.

Cell: 3.5770 4.8607 5.9776 Å, 71.94 90.00 90.00°
With the nearest neighbours (Å) after each atom.
Element x y z (fractional)
1 Ba 0.5000 0.0000 0.5000  2 P 3.21, 4 Tc 3.56, 2 Ba 3.58
2 Tc 0.0000 0.2485 0.9157  2 P 2.31, 1 Tc 2.31
3 Tc 0.0000 0.7515 0.0843  2 P 2.31, 1 Tc 2.31
4 P 0.5000 0.5000 0.0000  4 Tc 2.31


Record 11
An optimized crystal structure of ZnCo4Pb. Source: the Alexandria database, functional PBE.

Calculated values
The total energy comes out at -5.2520 eV per atom. Its density of states at the Fermi level is 9.305 states/eV/f.u. The symmetry is F-43m. The formation energy comes out at 316 meV/atom.

Cell: 4.8999 4.8999 4.8999 Å, 60.00 60.00 60.00°
With the nearest neighbours (Å) after each atom.
Element x y z (fractional)
1 Zn 0.0000 0.0000 0.0000  12 Co 2.87, 4 Pb 3.00
2 Co 0.8775 0.3742 0.3742  6 Co 2.43-2.47
3 Co 0.3742 0.3742 0.8775  6 Co 2.43-2.47
4 Co 0.3742 0.8775 0.3742  6 Co 2.43-2.47
5 Co 0.3742 0.3742 0.3742  6 Co 2.43-2.47
6 Pb 0.7500 0.7500 0.7500  12 Co 2.87, 4 Zn 3.00


Record 12
An optimized crystal structure of KSi2BO6. Source: the Alexandria database, functional PBE.

Calculated values
As for the uncorrected formation energy: -2.561 eV/atom. The total energy comes out at -7.3977 eV per atom. Its density of states at the Fermi level is 0.000 states/eV/f.u. The symmetry is C2/c.

Cell: 5.4447 7.0713 7.0713 Å, 97.17 74.25 74.25°
With the nearest neighbours (Å) after each atom.
Element x y z (fractional)
1 K 0.2500 0.8525 0.1475  4 O 2.54-2.69
2 K 0.7500 0.1475 0.8525  4 O 2.54-2.69
3 Si 0.3883 0.8130 0.6399  4 O 1.62-1.66
4 Si 0.1117 0.3601 0.1870  4 O 1.62-1.66
5 Si 0.6117 0.1870 0.3601  4 O 1.62-1.66
6 Si 0.8883 0.6399 0.8130  4 O 1.62-1.66
7 B 0.2500 0.2668 0.7332  4 O 1.48
8 B 0.7500 0.7332 0.2668  4 O 1.48
9 O 0.2553 0.0557 0.6827  1 B 1.48, 1 Si 1.62
10 O 0.2447 0.3173 0.9443  1 B 1.48, 1 Si 1.62
11 O 0.7447 0.9443 0.3173  1 B 1.48, 1 Si 1.62
12 O 0.7553 0.6827 0.0557  1 B 1.48, 1 Si 1.62
13 O 0.5041 0.7096 0.4017  1 B 1.48, 1 Si 1.62
14 O 0.9959 0.5983 0.2904  1 B 1.48, 1 Si 1.62
15 O 0.4959 0.2904 0.5983  1 B 1.48, 1 Si 1.62
16 O 0.0041 0.4017 0.7096  1 B 1.48, 1 Si 1.62
17 O 0.1284 0.7459 0.7592  2 Si 1.66
18 O 0.3716 0.2408 0.2541  2 Si 1.66
19 O 0.8716 0.2541 0.2408  2 Si 1.66
20 O 0.6284 0.7592 0.7459  2 Si 1.66